Record 1
Entry from Alexandria via LeMat-Bulk: crystalline Ca2IrC at its relaxed geometry (GGA-PBE).

## Properties
Its energy is -5.7396 eV/atom. As for the formation energy from the elements: -0.870 eV per formula unit. The value obtained for the spin magnetization is 0.0 μB per formula unit. Its space group is I-42d, No. 122. As for the crystal system: tetragonal.

Structure (CIF):
```
data_Ca2IrC
_chemical_formula_sum 'Ca8 Ir4 C4'
_cell_length_a 10.0832
_cell_length_b 10.0832
_cell_length_c 3.8737
_cell_angle_alpha 90.00
_cell_angle_beta 90.00
_cell_angle_gamma 90.00
_space_group_name_H-M_alt 'P 1'
_space_group_IT_number 1
loop_
_space_group_symop_operation_xyz
'x,y,z'
loop_
_atom_site_label
_atom_site_type_symbol
_atom_site_fract_x
_atom_site_fract_y
_atom_site_fract_z
Ca1 Ca 0.0501 0.7500 0.1250
Ca2 Ca 0.2500 0.0501 0.8750
Ca3 Ca 0.2500 0.4499 0.3750
Ca4 Ca 0.4499 0.7500 0.6250
Ca5 Ca 0.5501 0.2500 0.6250
Ca6 Ca 0.7500 0.5501 0.3750
Ca7 Ca 0.7500 0.9499 0.8750
Ca8 Ca 0.9499 0.2500 0.1250
Ir1 Ir 0.0000 0.0000 0.5000
Ir2 Ir 0.0000 0.5000 0.7500
Ir3 Ir 0.5000 0.0000 0.2500
Ir4 Ir 0.5000 0.5000 0.0000
C1 C 0.0000 0.0000 0.0000
C2 C 0.0000 0.5000 0.2500
C3 C 0.5000 0.0000 0.7500
C4 C 0.5000 0.5000 0.5000
```

=====

Record 2
Entry from Alexandria via LeMat-Bulk: crystalline FePd2Br at its relaxed geometry (GGA-PBE).

## Properties
Its energy is -4.7108 eV/atom. The value obtained for the spin magnetization is 4.0 μB per formula unit. Its space group is Fm-3m, No. 225. As for the crystal system: cubic. Its uncorrected formation energy is 0.420 eV/atom.

Structure (CIF):
```
data_FePd2Br
_chemical_formula_sum 'Fe4 Pd8 Br4'
_cell_length_a 6.4463
_cell_length_b 6.4463
_cell_length_c 6.4463
_cell_angle_alpha 90.00
_cell_angle_beta 90.00
_cell_angle_gamma 90.00
_space_group_name_H-M_alt 'P 1'
_space_group_IT_number 1
loop_
_space_group_symop_operation_xyz
'x,y,z'
loop_
_atom_site_label
_atom_site_type_symbol
_atom_site_fract_x
_atom_site_fract_y
_atom_site_fract_z
Fe1 Fe 0.0000 0.0000 0.0000
Fe2 Fe 0.0000 0.5000 0.5000
Fe3 Fe 0.5000 0.0000 0.5000
Fe4 Fe 0.5000 0.5000 0.0000
Pd1 Pd 0.2500 0.2500 0.2500
Pd2 Pd 0.2500 0.2500 0.7500
Pd3 Pd 0.2500 0.7500 0.2500
Pd4 Pd 0.2500 0.7500 0.7500
Pd5 Pd 0.7500 0.2500 0.2500
Pd6 Pd 0.7500 0.2500 0.7500
Pd7 Pd 0.7500 0.7500 0.2500
Pd8 Pd 0.7500 0.7500 0.7500
Br1 Br 0.0000 0.0000 0.5000
Br2 Br 0.0000 0.5000 0.0000
Br3 Br 0.5000 0.0000 0.0000
Br4 Br 0.5000 0.5000 0.5000
```

=====

Which value of energy does entry 1 give?
-5.7396 eV/atom

=====

Repeat the first record exactly.
Entry from Alexandria via LeMat-Bulk: crystalline Ca2IrC at its relaxed geometry (GGA-PBE).

## Properties
Its energy is -5.7396 eV/atom. As for the formation energy from the elements: -0.870 eV per formula unit. The value obtained for the spin magnetization is 0.0 μB per formula unit. Its space group is I-42d, No. 122. As for the crystal system: tetragonal.

Structure (CIF):
```
data_Ca2IrC
_chemical_formula_sum 'Ca8 Ir4 C4'
_cell_length_a 10.0832
_cell_length_b 10.0832
_cell_length_c 3.8737
_cell_angle_alpha 90.00
_cell_angle_beta 90.00
_cell_angle_gamma 90.00
_space_group_name_H-M_alt 'P 1'
_space_group_IT_number 1
loop_
_space_group_symop_operation_xyz
'x,y,z'
loop_
_atom_site_label
_atom_site_type_symbol
_atom_site_fract_x
_atom_site_fract_y
_atom_site_fract_z
Ca1 Ca 0.0501 0.7500 0.1250
Ca2 Ca 0.2500 0.0501 0.8750
Ca3 Ca 0.2500 0.4499 0.3750
Ca4 Ca 0.4499 0.7500 0.6250
Ca5 Ca 0.5501 0.2500 0.6250
Ca6 Ca 0.7500 0.5501 0.3750
Ca7 Ca 0.7500 0.9499 0.8750
Ca8 Ca 0.9499 0.2500 0.1250
Ir1 Ir 0.0000 0.0000 0.5000
Ir2 Ir 0.0000 0.5000 0.7500
Ir3 Ir 0.5000 0.0000 0.2500
Ir4 Ir 0.5000 0.5000 0.0000
C1 C 0.0000 0.0000 0.0000
C2 C 0.0000 0.5000 0.2500
C3 C 0.5000 0.0000 0.7500
C4 C 0.5000 0.5000 0.5000
```